Below is a geometry-optimized Li5V3Bi2P6O24 structure, with properties calculated at the GGA+U level.

Computed properties:
As for the space group: P1 (1). The value obtained for the energy is -275.481 eV per cell.

abc: 8.9265 8.7883 8.9031
angles: 119.23 91.14 117.69
With the nearest neighbours (Å) after each atom.
Element x y z (fractional)
Li 0.3364 0.5619 0.8088  4 O 1.97-2.11
Li 0.3045 0.5298 0.3930  3 O 2.01-2.13
Li 0.7091 0.5442 0.6923  4 O 1.92-2.14
Li 0.6504 0.9487 0.8389  3 O 1.91-2.08
Li 0.6920 0.8394 0.1436  2 O 1.83-1.96
V 0.0512 0.6954 0.3470  6 O 1.98-2.10
V 0.4556 0.3133 0.1478  6 O 2.08-2.29
V 0.9547 0.3119 0.6543  6 O 2.09-2.27
Bi 0.0256 0.0030 0.9920  6 O 2.32-2.47
Bi 0.5096 0.0478 0.5048  4 O 2.33-2.56
P 0.2661 0.1947 0.4457  4 O 1.52-1.58
P 0.2416 0.8019 0.7426  4 O 1.53-1.58
P 0.2662 0.5269 0.0680  4 O 1.51-1.58
P 0.7550 0.4904 0.9575  4 O 1.51-1.60
P 0.7794 0.2276 0.2565  4 O 1.51-1.60
P 0.7456 0.7986 0.5345  4 O 1.52-1.59
O 0.0621 0.6174 0.7041  1 P 1.53
O 0.1261 0.4574 0.9109  1 P 1.51
O 0.1754 0.2828 0.5738  1 P 1.52
O 0.2502 0.2273 0.2885  1 P 1.58
O 0.1984 0.9638 0.3587  1 P 1.55
O 0.4686 0.3103 0.5515  1 P 1.57
O 0.2734 0.9947 0.9274  1 P 1.57
O 0.2408 0.8527 0.5947  1 P 1.58
O 0.2574 0.6582 0.2640  1 P 1.58
O 0.5698 0.3629 0.9601  1 P 1.51
O 0.7944 0.6970 0.9811  1 P 1.58
O 0.6182 0.2353 0.2215  1 P 1.51
O 0.3962 0.7684 0.7501  1 P 1.55
O 0.2401 0.3305 0.0572  1 P 1.58
O 0.4502 0.6587 0.0626  1 P 1.53
O 0.7521 0.3593 0.7526  1 P 1.60
O 0.7598 0.1489 0.3880  1 P 1.60
O 0.7838 0.0552 0.0802  1 P 1.58
O 0.5577 0.6127 0.4010  1 P 1.54
O 0.7475 0.0033 0.6077  1 P 1.58
O 0.7785 0.7990 0.7108  1 P 1.59
O 0.8918 0.7986 0.4492  1 P 1.52
O 0.9036 0.5374 0.0919  1 P 1.52
O 0.9608 0.4326 0.3360  1 P 1.54